Entry from Alexandria: a geometry-optimized CsNiN2O structure (PBE with a Hubbard U).

Total magnetization (μB/f.u.): 2.13
Volume (Å³ per cell): 81.36
Final energy (eV/cell): -11.84

Lattice parameters (Å, degrees): 4.356 4.356 4.289 90.00 90.00 90.00
Space group P4/mmm (No. 123)
Inequivalent atoms, fractional coordinates:
Cs (0.000, 0.000, 0.000) x1
Ni (0.500, 0.500, 0.500) x1
N (0.000, 0.500, 0.000) x2
O (0.000, 0.000, 0.500) x1